(1)
Here is an optimized crystal structure of Pm3Pr5Sn4 from Alexandria via LeMat-Bulk. Energies are from GGA-PBE.

Properties
The uncorrected energy comes out at -4.751 eV per atom. The value obtained for the calculated formation energy is -276 kJ/mol of formula units.

Unit cell a=6.356 b=7.088 c=12.580 alpha=55.98 beta=75.37 gamma=63.36
Positions (direct):
Pm (0.268, 0.137, 0.327)
Pm (0.000, 0.500, 0.500)
Pm (0.732, 0.863, 0.673)
Pr (0.445, 0.282, 0.827)
Pr (0.500, 0.500, 0.500)
Pr (0.168, 0.733, 0.932)
Pr (0.832, 0.267, 0.068)
Pr (0.555, 0.718, 0.173)
Sn (0.948, 0.304, 0.800)
Sn (0.245, 0.878, 0.633)
Sn (0.755, 0.122, 0.367)
Sn (0.052, 0.696, 0.200)

(2)
Here is an optimized crystal structure of Te3Pt from Alexandria via LeMat-Bulk. Energies are from GGA-PBE.

Properties
The formation energy from raw total energies comes out at -0.80 eV/f.u. The uncorrected energy comes out at -4.067 eV per atom.

Unit cell a=4.071 b=5.285 c=5.283 alpha=67.02 beta=90.00 gamma=90.00
Positions (direct):
Pt (0.000, 0.000, 0.000)
Te (0.500, 0.798, 0.798)
Te (0.000, 0.500, 0.500)
Te (0.500, 0.202, 0.202)

(3)
Here is an optimized crystal structure of Zr3Ga3Cu from Alexandria via LeMat-Bulk. Energies are from GGA-PBE.

Properties
The uncorrected energy comes out at -6.089 eV per atom. The value obtained for the calculated formation energy is -367 kJ/mol of formula units.

Unit cell a=4.025 b=5.477 c=12.706 alpha=83.91 beta=80.89 gamma=68.44
Positions (direct):
Zr (0.525, 0.327, 0.623)
Zr (0.475, 0.673, 0.377)
Zr (0.259, 0.257, 0.225)
Zr (0.741, 0.743, 0.775)
Zr (0.394, 0.291, 0.921)
Zr (0.606, 0.709, 0.079)
Ga (0.866, 0.722, 0.545)
Ga (0.134, 0.278, 0.455)
Ga (0.117, 0.841, 0.926)
Ga (0.883, 0.159, 0.074)
Ga (0.975, 0.819, 0.231)
Ga (0.025, 0.181, 0.769)
Cu (0.763, 0.082, 0.392)
Cu (0.237, 0.918, 0.608)

(4)
Here is an optimized crystal structure of Mg2Si2Hg from Alexandria via LeMat-Bulk. Energies are from GGA-PBE.

Properties
The formation energy from raw total energies comes out at 0.75 eV/f.u. The uncorrected energy comes out at -2.717 eV per atom.

Unit cell a=4.463 b=4.463 c=6.240 alpha=69.05 beta=69.05 gamma=90.00
Positions (direct):
Mg (0.750, 0.250, 0.500)
Mg (0.250, 0.750, 0.500)
Si (0.394, 0.394, 0.212)
Si (0.606, 0.606, 0.788)
Hg (0.000, 0.000, 0.000)

(5)
Here is an optimized crystal structure of SrDy2BiO6 from Alexandria via LeMat-Bulk. Energies are from GGA-PBE.

Properties
The formation energy from raw total energies comes out at -26.41 eV/f.u. The uncorrected energy comes out at -7.092 eV per atom.

Unit cell a=5.972 b=5.972 c=6.210 alpha=61.26 beta=61.26 gamma=60.00
Positions (direct):
Sr (0.795, 0.795, 0.616)
Dy (0.524, 0.524, 0.429)
Dy (0.019, 0.019, 0.943)
Bi (0.313, 0.313, 0.061)
O (0.626, 0.232, 0.235)
O (0.232, 0.906, 0.235)
O (0.906, 0.626, 0.235)
O (0.372, 0.711, 0.754)
O (0.711, 0.163, 0.754)
O (0.163, 0.372, 0.754)

(6)
Here is an optimized crystal structure of Rb2ZnHgGe from Alexandria via LeMat-Bulk. Energies are from GGA-PBE.

Properties
The uncorrected energy comes out at -1.607 eV per atom. The value obtained for the calculated formation energy is 9 kJ/mol of formula units.

Unit cell a=6.935 b=6.935 c=4.658 alpha=90.00 beta=90.00 gamma=90.00
Positions (direct):
Zn (0.000, 0.000, 0.500)
Ge (0.000, 0.000, 0.000)
Hg (0.500, 0.500, 0.500)
Rb (0.000, 0.500, 0.000)
Rb (0.500, 0.000, 0.000)

(7)
Here is an optimized crystal structure of BePdSe from Alexandria via LeMat-Bulk. Energies are from GGA-PBE.

Properties
The formation energy from raw total energies comes out at -0.31 eV/f.u. The uncorrected energy comes out at -4.237 eV per atom.

Unit cell a=5.248 b=7.295 c=4.793 alpha=90.00 beta=90.00 gamma=90.00
Positions (direct):
Be (0.711, 0.250, 0.843)
Be (0.789, 0.750, 0.343)
Be (0.289, 0.750, 0.157)
Be (0.211, 0.250, 0.657)
Se (0.000, 0.000, 0.000)
Se (0.500, 0.500, 0.500)
Se (0.500, 0.000, 0.500)
Se (0.000, 0.500, 0.000)
Pd (0.337, 0.250, 0.134)
Pd (0.163, 0.750, 0.634)
Pd (0.663, 0.750, 0.866)
Pd (0.837, 0.250, 0.366)

(8)
Here is an optimized crystal structure of LaP2Ir from Alexandria via LeMat-Bulk. Energies are from GGA-PBE.

Properties
The uncorrected energy comes out at -7.180 eV per atom. The value obtained for the calculated formation energy is -397 kJ/mol of formula units.

Unit cell a=3.964 b=4.578 c=4.537 alpha=81.55 beta=90.00 gamma=90.00
Positions (direct):
Ir (0.500, 0.250, 0.250)
La (0.500, 0.750, 0.750)
P (0.000, 0.133, 0.993)
P (0.000, 0.367, 0.507)

| no. | total magnetic moment (μB per formula unit) | Fermi-level density of states (states/eV per cell) |
| --- | --- | --- |
| 1 | 0.0 | 13.2 |
| 2 | 0.0 | 1.7 |
| 3 | 0.0 | 10.6 |
| 4 | 0.0 | 2.5 |
| 5 | 1.0 | 3.1 |
| 6 | 0.0 | 1.7 |
| 7 | 0.0 | 5.1 |
| 8 | 0.0 | 0.6 |